No. 1
Computed, not measured: a relaxed structure of Th2Ge7Ir12 at the PBE level of DFT.

Output
Crystal system: hexagonal
Formation energy (kJ/mol of atoms): -47.5

Cell and atoms, written as POSCAR:
```
Th2Ge7Ir12
1.0
3.985 0.000 0.000
0.000 8.711 -5.029
0.000 0.000 10.058
Ir Ge Th
12 7 2
Cartesian
1.992 3.457 0.881
0.000 8.296 -2.588
0.000 6.804 3.449
0.000 4.001 2.907
1.992 7.746 1.595
1.992 5.154 4.919
1.992 1.683 3.135
0.000 4.192 7.041
0.000 0.517 5.139
0.000 2.322 -0.862
1.992 6.219 -2.476
1.992 1.874 7.034
0.000 0.402 7.613
0.000 1.917 1.571
1.992 8.107 -0.911
1.992 3.869 -1.536
1.992 5.446 2.447
0.000 2.904 5.029
0.000 6.392 5.904
0.000 5.807 0.000
1.992 0.000 0.000
```

=====

No. 2
Computed, not measured: a relaxed structure of TaNiPd6 at the PBE level of DFT.

Output
Crystal system: triclinic
Formation energy (kJ/mol of atoms): -10.1

Cell and atoms, written as POSCAR:
```
TaNiPd6
1.0
-4.229 -5.907 -0.366
-1.156 -4.064 5.901
-3.979 -1.797 2.488
Pd Ta Ni
6 1 1
Cartesian
-3.549 -4.620 1.890
-3.637 -3.430 4.639
-5.815 -7.148 6.133
-3.156 -5.863 6.265
-6.208 -5.905 1.758
-5.727 -8.338 3.384
-4.682 -5.884 4.011
0.000 0.000 0.000
```

=====

No. 3
Computed, not measured: a relaxed structure of PaZn3Rh4 at the PBE level of DFT.

Output
Crystal system: monoclinic
Formation energy (kJ/mol of atoms): -62.0

Cell and atoms, written as POSCAR:
```
PaZn3Rh4
1.0
-0.568 2.600 3.498
-3.438 1.901 -1.971
-1.901 -6.621 1.851
Pa Zn Rh
1 3 4
Cartesian
-0.284 1.300 1.749
-1.719 0.950 -0.985
-2.276 -0.930 3.083
-3.631 -1.191 0.295
-3.032 1.095 1.455
-2.874 -3.216 1.923
-4.877 -0.966 2.687
-1.029 -1.155 0.691
```

=====

No. 4
Computed, not measured: a relaxed structure of Sc2TlAs at the PBE level of DFT.

Output
Crystal system: tetragonal
Formation energy (kJ/mol of atoms): -46.6

Cell and atoms, written as POSCAR:
```
Sc2TlAs
1.0
3.827 0.000 0.000
0.000 4.737 0.000
0.000 0.000 4.737
As Sc Tl
1 2 1
Cartesian
1.913 0.000 2.368
0.000 0.000 0.000
0.000 2.368 2.368
1.913 2.368 0.000
```

=====

No. 5
Computed, not measured: a relaxed structure of Ba2ZrMn at the PBE level of DFT.

Output
Crystal system: tetragonal
Formation energy (kJ/mol of atoms): 80.0

Cell and atoms, written as POSCAR:
```
Ba2ZrMn
1.0
-4.908 1.926 -2.832
-1.353 -5.637 -1.490
-2.000 -0.370 3.214
Ba Mn Zr
2 1 1
Cartesian
-3.130 -1.855 -2.161
0.000 0.000 0.000
-3.454 0.778 0.191
-1.676 -3.003 0.862
```

=====

No. 6
Computed, not measured: a relaxed structure of CaLa12Pm7 at the PBE level of DFT.

Output
Crystal system: cubic
Formation energy (kJ/mol of atoms): 49.0

Cell and atoms, written as POSCAR:
```
CaLa12Pm7
1.0
-6.911 2.586 7.115
5.609 -7.882 3.390
6.130 7.999 -1.876
La Pm Ca
12 7 1
Cartesian
2.020 -0.005 6.916
-0.911 6.535 6.556
2.808 2.708 1.714
2.190 4.029 5.557
8.535 2.766 2.452
5.738 -3.832 2.073
-3.708 -0.063 6.177
-0.530 1.370 4.000
2.637 -1.326 3.073
2.826 6.614 0.431
2.001 -3.911 8.199
5.357 1.333 4.630
-0.391 5.292 2.620
2.805 -3.941 1.695
5.869 0.059 0.757
-0.651 -2.648 5.253
2.414 1.352 4.315
-3.456 1.293 3.558
3.065 4.000 -0.938
0.000 0.000 0.000
```

=====

No. 7
Computed, not measured: a relaxed structure of KLaZr4 at the PBE level of DFT.

Output
Crystal system: cubic
Formation energy (kJ/mol of atoms): 61.4

Cell and atoms, written as POSCAR:
```
KLaZr4
1.0
2.930 -4.832 -2.773
-3.092 -3.601 -4.135
1.443 0.287 -6.121
La Zr K
1 4 1
Cartesian
0.000 0.000 0.000
-1.151 -4.895 -6.975
1.230 -2.853 -8.018
2.011 -5.542 -6.260
0.472 -3.004 -4.804
0.961 -6.110 -9.772
```

=====

No. 8
Computed, not measured: a relaxed structure of K2Na3WSe6 at the PBE level of DFT.

Output
Formation energy from raw total energies (eV/f.u.): -8.551
Crystal system: monoclinic

Cell and atoms, written as POSCAR:
```
K2Na3WSe6
1.0
-0.347 -7.814 -1.107
6.927 3.035 2.284
-3.912 1.022 5.121
Se K Na W
6 2 3 1
Cartesian
-0.453 -2.319 1.010
1.122 -4.420 4.357
3.121 -1.439 5.288
1.546 0.663 1.942
4.585 -3.862 2.519
-1.917 0.104 3.779
2.124 -4.129 0.045
4.456 -0.651 1.132
3.511 1.368 4.164
1.334 -1.879 3.149
-0.843 -5.125 2.134
0.000 0.000 0.000
```

=====

No. 9
Computed, not measured: a relaxed structure of Cu2RuCl at the PBE level of DFT.

Output
Formation energy from raw total energies (eV/f.u.): 2.928
Crystal system: tetragonal

Cell and atoms, written as POSCAR:
```
Cu2RuCl
1.0
-0.605 1.659 -4.356
-4.571 -0.273 -1.060
2.201 1.836 3.725
Ru Cu Cl
1 2 1
Cartesian
-2.588 0.693 -2.708
-2.479 1.128 -0.022
0.000 0.000 0.000
-0.496 2.094 -1.670
```

=====

No. 10
Computed, not measured: a relaxed structure of SCl3O at the PBE level of DFT.

Output
Formation energy from raw total energies (eV/f.u.): 4.661
Crystal system: cubic

Cell and atoms, written as POSCAR:
```
SCl3O
1.0
4.705 0.000 0.000
0.000 4.705 0.000
0.000 0.000 4.705
Cl O S
3 1 1
Cartesian
0.000 2.353 0.000
0.000 0.000 2.353
2.353 0.000 0.000
2.353 2.353 2.353
0.000 0.000 0.000
```

=====

No. 11
Computed, not measured: a relaxed structure of RhAuF6 at the PBE level of DFT.

Output
Formation energy from raw total energies (eV/f.u.): -9.559
Crystal system: monoclinic

Cell and atoms, written as POSCAR:
```
RhAuF6
1.0
-4.785 1.394 -0.788
0.848 -3.636 3.395
0.875 3.878 3.485
F Rh Au
6 1 1
Cartesian
-2.839 2.089 3.715
-1.880 1.026 1.146
-0.138 2.213 2.847
-2.924 -0.576 3.245
-0.223 -0.453 2.377
-1.182 0.610 4.945
-1.531 0.818 3.046
0.000 0.000 0.000
```

=====

No. 12
Computed, not measured: a relaxed structure of Tm8HgSb2 at the PBE level of DFT.

Output
Formation energy from raw total energies (eV/f.u.): -4.163
Crystal system: monoclinic

Cell and atoms, written as POSCAR:
```
Tm8HgSb2
1.0
-4.532 -0.556 1.860
-1.235 -4.972 -4.496
5.852 -4.513 6.376
Hg Tm Sb
1 8 2
Cartesian
-2.266 -0.278 0.930
-1.156 -1.884 3.153
2.281 -6.463 3.627
-0.822 -3.943 -3.183
0.908 -6.098 6.922
1.242 -8.157 0.586
1.119 -3.749 1.606
-2.196 -3.579 0.112
-1.034 -6.292 2.133
-0.257 -4.484 4.566
0.343 -5.557 -0.827
```

=====

Repeat the eleventh record exactly.
Computed, not measured: a relaxed structure of RhAuF6 at the PBE level of DFT.

Output
Formation energy from raw total energies (eV/f.u.): -9.559
Crystal system: monoclinic

Cell and atoms, written as POSCAR:
```
RhAuF6
1.0
-4.785 1.394 -0.788
0.848 -3.636 3.395
0.875 3.878 3.485
F Rh Au
6 1 1
Cartesian
-2.839 2.089 3.715
-1.880 1.026 1.146
-0.138 2.213 2.847
-2.924 -0.576 3.245
-0.223 -0.453 2.377
-1.182 0.610 4.945
-1.531 0.818 3.046
0.000 0.000 0.000
```